(1)
A relaxed structure of CeAl4. Source: the Alexandria database, functional PBE.

Properties
SG	No. 74
calculated formation energy	-332	meV/atom
energy	-4.51	eV per atom
magnetic moment	0.063	μB per atom
distance to the lowest polymorph of the same formula	0	meV/atom

Lattice parameters (Å, degrees): 7.964 7.964 7.964 147.91 132.17 58.77
Element x y z (fractional)
Ce 0.366 0.116 0.250
Ce 0.634 0.884 0.750
Al 0.000 0.500 0.500
Al 0.140 0.890 0.250
Al 0.159 0.697 0.462
Al 0.265 0.303 0.962
Al 0.500 0.500 0.000
Al 0.735 0.697 0.038
Al 0.841 0.303 0.538
Al 0.860 0.110 0.750

=====

(2)
A relaxed structure of Pr3Zn9Cd2. Source: the Alexandria database, functional PBE.

Properties
SG	No. 71
calculated formation energy	-313	meV/atom
energy	-2.29	eV per atom
magnetic moment	0.000	μB per atom

Lattice parameters (Å, degrees): 8.547 8.547 8.547 149.02 116.56 72.28
Element x y z (fractional)
Pr 0.000 0.000 0.000
Pr 0.294 0.294 0.000
Pr 0.706 0.706 0.000
Zn 0.024 0.663 0.361
Zn 0.135 0.857 0.278
Zn 0.302 0.663 0.639
Zn 0.421 0.143 0.278
Zn 0.500 0.000 0.500
Zn 0.579 0.857 0.722
Zn 0.698 0.337 0.361
Zn 0.865 0.143 0.722
Zn 0.976 0.337 0.639
Cd 0.312 0.500 0.812
Cd 0.688 0.500 0.188

=====

(3)
A relaxed structure of Tb4Sb2PbSe. Source: the Alexandria database, functional PBE.

Properties
SG	No. 10
energy	-5.38	eV per atom
magnetic moment	0.000	μB per atom
energy relative to the elements, uncorrected	-1137	meV/atom

Lattice parameters (Å, degrees): 7.541 4.332 7.556 90.00 109.27 90.00
Element x y z (fractional)
Tb 0.246 0.000 0.247
Tb 0.248 0.500 0.755
Tb 0.752 0.500 0.245
Tb 0.754 0.000 0.753
Sb 0.500 0.000 0.000
Sb 0.500 0.500 0.500
Pb 0.000 0.000 0.500
Se 0.000 0.500 0.000

=====

(4)
A relaxed structure of Li2YFe. Source: the Alexandria database, functional PBE.

Properties
SG	No. 225
calculated formation energy	503	meV/atom
energy	-4.19	eV per atom
magnetic moment	0.000	μB per atom
distance to the lowest polymorph of the same formula	267	meV/atom

Lattice parameters (Å, degrees): 6.431 6.431 6.431 90.00 90.00 90.00
Element x y z (fractional)
Li 0.250 0.250 0.250
Li 0.250 0.250 0.750
Li 0.250 0.750 0.250
Li 0.250 0.750 0.750
Li 0.750 0.250 0.250
Li 0.750 0.250 0.750
Li 0.750 0.750 0.250
Li 0.750 0.750 0.750
Y 0.000 0.000 0.000
Y 0.000 0.500 0.500
Y 0.500 0.000 0.500
Y 0.500 0.500 0.000
Fe 0.000 0.000 0.500
Fe 0.000 0.500 0.000
Fe 0.500 0.000 0.000
Fe 0.500 0.500 0.500

=====

(5)
A relaxed structure of AcTiAl2. Source: the Alexandria database, functional PBE.

Properties
SG	No. 123
calculated formation energy	-150	meV/atom
energy	-5.02	eV per atom
magnetic moment	0.201	μB per atom
distance to the lowest polymorph of the same formula	0	meV/atom

Lattice parameters (Å, degrees): 3.575 3.575 7.202 90.00 90.00 90.00
Element x y z (fractional)
Ac 0.000 0.000 0.000
Ti 0.000 0.000 0.500
Al 0.500 0.500 0.317
Al 0.500 0.500 0.683

=====

(6)
A relaxed structure of CeTmMgZr. Source: the Alexandria database, functional PBE.

Properties
SG	No. 216
calculated formation energy	130	meV/atom
energy	-5.01	eV per atom
magnetic moment	0.232	μB per atom

Lattice parameters (Å, degrees): 7.478 7.478 7.478 90.00 90.00 90.00
Element x y z (fractional)
Ce 0.000 0.000 0.000
Ce 0.000 0.500 0.500
Ce 0.500 0.000 0.500
Ce 0.500 0.500 0.000
Tm 0.000 0.000 0.500
Tm 0.000 0.500 0.000
Tm 0.500 0.000 0.000
Tm 0.500 0.500 0.500
Mg 0.250 0.250 0.750
Mg 0.250 0.750 0.250
Mg 0.750 0.250 0.250
Mg 0.750 0.750 0.750
Zr 0.250 0.250 0.250
Zr 0.250 0.750 0.750
Zr 0.750 0.250 0.750
Zr 0.750 0.750 0.250

=====

Q: Which formula does entry 1 have?
A: CeAl4